[1]
## MgFePb (PBE-GGA)

Data for a relaxed MgFePb crystal.

a = 5.722 Å, b = 5.722 Å, c = 5.722 Å
α = 146.89°, β = 144.35°, γ = 49.44°
Fractional positions:
Pb 0.351 0.351 0.000
Mg 0.644 0.644 0.000
Fe 0.005 0.005 0.000

Calculated values
The calculation puts the calculated formation energy at 0.3513 eV per atom. The total magnetization comes out at 0.7206 μB per atom. As for the energy above the most stable polymorph in this dataset: 0 meV/atom.


[2]
## MgFePb4 (PBE-GGA)

Data for a relaxed MgFePb4 crystal.

a = 6.377 Å, b = 6.377 Å, c = 6.377 Å
α = 60.00°, β = 60.00°, γ = 60.00°
Fractional positions:
Fe 0.750 0.750 0.750
Pb 0.874 0.375 0.375
Pb 0.375 0.874 0.375
Pb 0.375 0.375 0.375
Pb 0.375 0.375 0.874
Mg 0.000 0.000 0.000

Calculated values
The calculation puts the calculated formation energy at 0.6678 eV per atom. The total magnetization comes out at 0.5460 μB per atom.


[3]
## MgFe3Pb (PBE-GGA)

Data for a relaxed MgFe3Pb crystal.

a = 4.569 Å, b = 4.569 Å, c = 4.569 Å
α = 90.00°, β = 90.00°, γ = 90.00°
Fractional positions:
Pb 0.500 0.500 0.500
Mg 0.000 0.000 0.000
Fe 0.000 0.500 0.000
Fe 0.000 0.000 0.500
Fe 0.500 0.000 0.000

Calculated values
The calculation puts the calculated formation energy at 1.3020 eV per atom. The total magnetization comes out at 1.5913 μB per atom. As for the energy above the most stable polymorph in this dataset: 0 meV/atom.